(1)
Below is AlCrW3 after structural relaxation, with properties calculated at the PBE level.

The excess energy over the best structure of this formula in the dataset is 685.8 meV/atom. The raw total energy comes out at -41.751 eV per cell. The energy of formation from the pure elements comes out at 2.095 eV per atom.

abc: 4.4817 4.4817 4.4817
angles: 90.00 90.00 90.00
Last column: nearest neighbours and their distance in Å.
Space group Pm-3m (No. 221)
Symmetry-distinct sites (fractional):
Al  0.0000  0.0000  0.0000 [1 per cell]  6 W 2.24
Cr  0.5000  0.5000  0.5000 [1 per cell]  12 W 3.17
W  0.0000  0.0000  0.5000 [3 per cell]  2 Al 2.24

(2)
Below is NbSb2Au after structural relaxation, with properties calculated at the PBE level.

The excess energy over the best structure of this formula in the dataset is 0.0 meV/atom. The raw total energy comes out at -63.326 eV per cell. The raw formation energy is 0.5 eV/f.u.

abc: 3.4393 3.4393 26.0931
angles: 90.00 90.00 120.00
Last column: nearest neighbours and their distance in Å.
Space group R3m (No. 160, hexagonal axes)
Symmetry-distinct sites (fractional):
Nb  0.0000  0.0000  0.0000 [3 per cell]  6 Sb 2.85-2.88
Sb  0.0000  0.0000  0.4117 [3 per cell]  3 Nb 2.85, 3 Au 3.04
Sb  0.0000  0.0000  0.5865 [3 per cell]  3 Nb 2.88, 3 Au 3.01
Au  0.0000  0.0000  0.1666 [3 per cell]  6 Sb 3.01-3.04

(3)
Below is LiTcIr2 after structural relaxation, with properties calculated at the PBE level.

The excess energy over the best structure of this formula in the dataset is 98.0 meV/atom. The raw total energy comes out at -30.067 eV per cell. The energy of formation from the pure elements comes out at -0.016 eV per atom.

abc: 2.6756 4.1006 5.1730
angles: 90.00 104.66 90.00
Last column: nearest neighbours and their distance in Å.
Space group Pm (No. 6)
Symmetry-distinct sites (fractional):
Li  0.0000  0.0000  0.0000 [1 per cell]  2 Tc 2.49, 6 Ir 2.51-2.76, 2 Li 2.68
Tc  0.2002  0.5000  0.2817 [1 per cell]  2 Li 2.49, 7 Ir 2.65-2.72, 2 Tc 2.68
Ir  0.4463  0.5000  0.8171 [1 per cell]  4 Li 2.57-2.66, 3 Tc 2.65-2.72, 2 Ir 2.68
Ir  0.8018  0.0000  0.4989 [1 per cell]  2 Li 2.51-2.76, 4 Tc 2.67-2.68, 2 Ir 2.68

(4)
Below is Sm6Si2TeSe3 after structural relaxation, with properties calculated at the PBE level.

The raw total energy comes out at -140.083 eV per cell. The raw formation energy is -17.3 eV/f.u.

abc: 18.4792 4.2339 8.5571
angles: 90.00 102.74 90.00
Last column: nearest neighbours and their distance in Å.
Space group C2/m (No. 12)
Symmetry-distinct sites (fractional):
Sm  0.0078  0.0000  0.2698 [4 per cell]  1 Si 2.88, 3 Se 2.92-3.08, 2 Te 3.11
Sm  0.1699  0.5000  0.5778 [4 per cell]  3 Si 2.93-2.95, 3 Se 3.06-3.09
Sm  0.1731  0.5000  0.1046 [4 per cell]  2 Si 2.92, 3 Se 2.96-3.10, 1 Te 3.13
Si  0.1675  0.0000  0.3358 [4 per cell]  6 Sm 2.88-2.95
Te  0.0000  0.5000  0.0000 [2 per cell]  6 Sm 3.11-3.13
Se  0.0000  0.5000  0.5000 [2 per cell]  6 Sm 2.92-3.06
Se  0.1629  0.0000  0.8364 [4 per cell]  6 Sm 2.96-3.10